{
  "formula": "Cr2CoSbF",
  "functional": "PBE with a Hubbard U",
  "state": "optimized geometry",
  "e_tot_ev_per_cell": -23.813,
  "space_group": "P4/mmm, No. 123",
  "lattice": [[5.357, 0.000, 0.000], [0.000, 4.875, 0.000], [0.000, 0.000, 5.357]],
  "species": ["Sb", "F", "Co", "Cr", "Cr"],
  "fractional_positions": [[0.000, 0.000, 0.000], [0.500, 0.500, 0.500], [0.000, 0.500, 0.000], [0.000, 0.000, 0.500], [0.500, 0.000, 0.000]]
}